[1]
This record from the Alexandria database describes BaGa2CuSi after structural relaxation. The functional is PBE.

Unit cell a=5.1858 b=5.1858 c=4.5420 alpha=90.00 beta=90.00 gamma=90.00
Element x y z (fractional)
1 Ba 0.0000 0.0000 0.0000
2 Ga 0.0000 0.5000 0.5000
3 Ga 0.5000 0.0000 0.5000
4 Cu 0.5000 0.5000 0.0000
5 Si 0.5000 0.5000 0.5000

Properties
- E_tot (eV per atom) = -3.4863
- space-group type = P4/mmm, No. 123
- uncorrected formation energy (eV per atom) = 0.01

[2]
This record from the Alexandria database describes Ba2GaCu6Si after structural relaxation. The functional is PBE.

Unit cell a=6.3372 b=6.3404 c=6.7994 alpha=62.29 beta=62.32 gamma=60.22
Element x y z (fractional)
1 Ba 0.2065 0.2071 0.3801
2 Ba 0.7935 0.7929 0.6199
3 Ga 0.5000 0.5000 0.5000
4 Cu 0.2458 0.2466 0.8641
5 Cu 0.2458 0.6431 0.8648
6 Cu 0.3575 0.7556 0.1345
7 Cu 0.6425 0.2444 0.8655
8 Cu 0.7542 0.3569 0.1352
9 Cu 0.7542 0.7534 0.1359
10 Si 0.0000 0.0000 0.0000

Properties
- E_tot (eV per atom) = -3.8345
- space-group type = P-1, No. 2
- uncorrected formation energy (eV per atom) = -0.15

[3]
This record from the Alexandria database describes Ba2GaCu3Sn4 after structural relaxation. The functional is PBE.

Unit cell a=4.6974 b=4.6974 c=11.2368 alpha=90.00 beta=90.00 gamma=90.00
Element x y z (fractional)
1 Ba 0.0000 0.5000 0.2450
2 Ba 0.5000 0.0000 0.7550
3 Ga 0.5000 0.5000 0.0000
4 Cu 0.0000 0.0000 0.0000
5 Cu 0.0000 0.5000 0.6281
6 Cu 0.5000 0.0000 0.3719
7 Sn 0.0000 0.0000 0.5000
8 Sn 0.0000 0.5000 0.8671
9 Sn 0.5000 0.0000 0.1329
10 Sn 0.5000 0.5000 0.5000

Properties
- E_tot (eV per atom) = -3.8810
- energy of formation from the pure elements (meV per atom) = -363.8
- space-group type = P-4m2, No. 115